Compound: H2PbN
Source: Alexandria via LeMat-Bulk
Functional: PBE
Structure: relaxed

Computed properties:
The density of states at the Fermi level comes out at 0.64 states/eV per atom. The magnetization is 0.0 μB/cell. The offset from the most stable computed form is 0 meV/atom.

abc: 4.8450 4.8450 6.7253
angles: 90.00 90.00 90.00
Space group I4_1/amd (No. 141, origin choice 2)
Symmetry-distinct sites (fractional):
H: 0.0000 0.0000 0.0000 x8
Pb: 0.0000 0.2500 0.3750 x4
N: 0.0000 0.2500 0.8750 x4

---

Compound: H3PbN
Source: Alexandria via LeMat-Bulk
Functional: PBE
Structure: relaxed

Computed properties:
The density of states at the Fermi level comes out at 0.17 states/eV per atom. The magnetization is 0.0 μB/cell. The offset from the most stable computed form is 0 meV/atom.

abc: 3.3921 5.0730 8.6584
angles: 90.00 92.36 90.00
Space group P2_1/m (No. 11)
Symmetry-distinct sites (fractional):
H: 0.0447 0.2500 0.0365 x2
H: 0.3175 0.5874 0.8868 x4
Pb: 0.2415 0.7500 0.4207 x2
N: 0.2541 0.7500 0.9512 x2

---

Compound: Pr6HPb2N
Source: Alexandria via LeMat-Bulk
Functional: PBE
Structure: relaxed

Computed properties:
The density of states at the Fermi level comes out at 1.02 states/eV per atom. The magnetization is 0.0 μB/cell. The calculation puts the calculated total energy at -5.402 eV per atom.

abc: 7.1659 7.1659 10.2039
angles: 90.00 90.00 90.00
Space group I4/mmm (No. 139)
Symmetry-distinct sites (fractional):
Pr: 0.0000 0.0000 0.2436 x4
Pr: 0.2462 0.2462 0.0000 x8
H: 0.0000 0.0000 0.5000 x2
Pb: 0.0000 0.5000 0.2500 x4
N: 0.0000 0.0000 0.0000 x2

---

Compound: HPbSeN2
Source: Alexandria via LeMat-Bulk
Functional: PBE
Structure: relaxed

Computed properties:
The density of states at the Fermi level comes out at 0.50 states/eV per atom. The magnetization is 4.8 μB/cell. The offset from the most stable computed form is 0 meV/atom.

abc: 5.4921 5.4921 3.7395
angles: 90.00 90.00 90.00
Space group P4/mmm (No. 123)
Symmetry-distinct sites (fractional):
H: 0.0000 0.0000 0.0000 x1
Pb: 0.5000 0.5000 0.5000 x1
Se: 0.0000 0.0000 0.5000 x1
N: 0.0000 0.5000 0.0000 x2

---

Compound: HPbSeN2
Source: Alexandria via LeMat-Bulk
Functional: PBE
Structure: relaxed

Computed properties:
The density of states at the Fermi level comes out at 0.91 states/eV per atom. The magnetization is 3.5 μB/cell. The offset from the most stable computed form is 80 meV/atom.

abc: 4.5793 4.5793 5.8095
angles: 90.00 90.00 90.00
Space group P4/mmm (No. 123)
Symmetry-distinct sites (fractional):
H: 0.0000 0.0000 0.0000 x1
Pb: 0.5000 0.5000 0.5000 x1
Se: 0.5000 0.5000 0.0000 x1
N: 0.0000 0.5000 0.5000 x2

---

Compound: Sr6HPb2N
Source: Alexandria via LeMat-Bulk
Functional: PBE
Structure: relaxed

Computed properties:
The density of states at the Fermi level comes out at 0.03 states/eV per atom. The magnetization is 0.0 μB/cell. The calculation puts the calculated total energy at -3.550 eV per atom.

abc: 10.6162 10.6162 10.6162
angles: 90.00 90.00 90.00
Space group Fm-3m (No. 225)
Symmetry-distinct sites (fractional):
Sr: 0.0000 0.0000 0.2406 x24
H: 0.0000 0.0000 0.5000 x4
Pb: 0.2500 0.2500 0.2500 x8
N: 0.0000 0.0000 0.0000 x4

---

Compound: Sr2HPbN
Source: Alexandria via LeMat-Bulk
Functional: PBE
Structure: relaxed

Computed properties:
The density of states at the Fermi level comes out at 0.84 states/eV per atom. The magnetization is 0.6 μB/cell. The calculation puts the calculated total energy at -2.943 eV per atom.

abc: 6.2990 6.2990 4.5220
angles: 90.00 90.00 90.00
Space group P4/mmm (No. 123)
Symmetry-distinct sites (fractional):
Sr: 0.0000 0.5000 0.0000 x2
H: 0.0000 0.0000 0.5000 x1
Pb: 0.5000 0.5000 0.0000 x1
N: 0.5000 0.5000 0.5000 x1

---

Compound: Ta2HPbN
Source: Alexandria via LeMat-Bulk
Functional: PBE
Structure: relaxed

Computed properties:
The density of states at the Fermi level comes out at 0.94 states/eV per atom. The magnetization is 1.5 μB/cell. The calculation puts the calculated total energy at -4.679 eV per atom.

abc: 5.3374 5.3374 4.2073
angles: 90.00 90.00 90.00
Space group P4/mmm (No. 123)
Symmetry-distinct sites (fractional):
Ta: 0.0000 0.5000 0.0000 x2
H: 0.0000 0.0000 0.5000 x1
Pb: 0.5000 0.5000 0.0000 x1
N: 0.5000 0.5000 0.5000 x1

---

Which value of magnetization does entry 7 give? 0.6 μB/cell